1.
A relaxed structure of PmCu2Ni, computed with GGA-PBE.

Cell lengths 5.187, 6.931, 14.770 Å; angles 90.00, 90.00, 90.00 degrees
Fractional positions:
Pm1 0.461 0.250 0.142
Pm2 0.961 0.750 0.358
Pm3 0.539 0.750 0.858
Pm4 0.039 0.250 0.642
Pm5 0.732 0.250 0.394
Pm6 0.232 0.750 0.106
Pm7 0.268 0.750 0.606
Pm8 0.768 0.250 0.894
Cu1 0.935 0.059 0.211
Cu2 0.435 0.941 0.289
Cu3 0.065 0.559 0.789
Cu4 0.565 0.441 0.711
Cu5 0.065 0.941 0.789
Cu6 0.565 0.059 0.711
Cu7 0.935 0.441 0.211
Cu8 0.435 0.559 0.289
Cu9 0.749 0.562 0.039
Cu10 0.249 0.438 0.461
Cu11 0.251 0.062 0.961
Cu12 0.751 0.938 0.539
Cu13 0.251 0.438 0.961
Cu14 0.751 0.562 0.539
Cu15 0.749 0.938 0.039
Cu16 0.249 0.062 0.461
Ni1 0.206 0.250 0.315
Ni2 0.706 0.750 0.185
Ni3 0.794 0.750 0.685
Ni4 0.294 0.250 0.815
Ni5 0.980 0.250 0.070
Ni6 0.480 0.750 0.430
Ni7 0.020 0.750 0.930
Ni8 0.520 0.250 0.570

The formation energy is -0.229 eV/atom.

2.
A relaxed structure of Pm12Cu6Ni, computed with GGA-PBE.

Cell lengths 8.279, 8.279, 8.279 Å; angles 98.18, 98.18, 98.18 degrees
Fractional positions:
Pm1 0.811 0.584 0.432
Pm2 0.432 0.811 0.584
Pm3 0.584 0.432 0.811
Pm4 0.189 0.416 0.568
Pm5 0.568 0.189 0.416
Pm6 0.416 0.568 0.189
Pm7 0.082 0.966 0.320
Pm8 0.034 0.680 0.918
Pm9 0.680 0.918 0.034
Pm10 0.918 0.034 0.680
Pm11 0.966 0.320 0.082
Pm12 0.320 0.082 0.966
Cu1 0.690 0.871 0.370
Cu2 0.630 0.310 0.129
Cu3 0.129 0.630 0.310
Cu4 0.310 0.129 0.630
Cu5 0.370 0.690 0.871
Cu6 0.871 0.370 0.690
Ni1 0.000 0.000 0.000

The formation energy is 0.039 eV/atom.

3.
A relaxed structure of PmCu9Ni3, computed with GGA-PBE.

Cell lengths 4.851, 6.458, 6.431 Å; angles 81.53, 67.84, 67.02 degrees
Fractional positions:
Pm1 0.000 0.000 0.000
Cu1 0.725 0.776 0.774
Cu2 0.275 0.224 0.226
Cu3 0.501 0.224 0.774
Cu4 0.499 0.776 0.226
Cu5 0.636 0.351 0.355
Cu6 0.364 0.649 0.645
Cu7 0.008 0.649 0.355
Cu8 0.992 0.351 0.645
Cu9 0.000 0.500 0.000
Ni1 0.500 0.500 0.000
Ni2 0.000 0.000 0.500
Ni3 0.500 0.000 0.500

The formation energy is -0.098 eV/atom.

4.
A relaxed structure of Pm2Cu5Ni5, computed with GGA-PBE.

Cell lengths 4.059, 4.989, 8.629 Å; angles 90.00, 90.00, 90.00 degrees
Fractional positions:
Pm1 0.000 0.500 0.000
Pm2 0.000 0.000 0.500
Cu1 0.500 0.500 0.500
Cu2 0.500 0.751 0.249
Cu3 0.500 0.249 0.751
Cu4 0.500 0.249 0.249
Cu5 0.500 0.751 0.751
Ni1 0.000 0.500 0.335
Ni2 0.000 0.000 0.838
Ni3 0.000 0.000 0.162
Ni4 0.000 0.500 0.665
Ni5 0.500 0.000 0.000

The formation energy is -0.256 eV/atom.

5.
A relaxed structure of Pm4Cu2Ni5, computed with GGA-PBE.

Cell lengths 4.054, 6.641, 7.679 Å; angles 91.32, 90.00, 90.00 degrees
Fractional positions:
Pm1 0.500 0.740 0.625
Pm2 0.500 0.246 0.881
Pm3 0.500 0.260 0.375
Pm4 0.500 0.754 0.119
Cu1 0.000 0.092 0.636
Cu2 0.000 0.908 0.364
Ni1 0.000 0.538 0.329
Ni2 0.000 0.145 0.121
Ni3 0.000 0.500 0.000
Ni4 0.000 0.855 0.879
Ni5 0.000 0.462 0.671

The formation energy is -0.264 eV/atom.

6.
A relaxed structure of PmCu6Ni6, computed with GGA-PBE.

Cell lengths 4.785, 6.374, 6.374 Å; angles 81.95, 67.95, 67.95 degrees
Fractional positions:
Pm1 0.000 0.000 0.000
Cu1 0.355 0.645 0.645
Cu2 0.645 0.355 0.355
Cu3 0.000 0.352 0.648
Cu4 0.000 0.648 0.352
Cu5 0.278 0.222 0.222
Cu6 0.722 0.778 0.778
Ni1 0.000 0.500 0.000
Ni2 0.500 0.500 0.000
Ni3 0.000 0.000 0.500
Ni4 0.500 0.000 0.500
Ni5 0.500 0.774 0.226
Ni6 0.500 0.226 0.774

The formation energy is -0.109 eV/atom.

7.
A relaxed structure of Pm2Cu4Ni3, computed with GGA-PBE.

Cell lengths 5.053, 5.053, 6.836 Å; angles 100.29, 100.29, 121.12 degrees
Fractional positions:
Pm1 0.631 0.631 0.263
Pm2 0.369 0.369 0.737
Cu1 0.006 0.662 0.668
Cu2 0.662 0.006 0.668
Cu3 0.994 0.338 0.332
Cu4 0.338 0.994 0.332
Ni1 0.500 0.000 0.000
Ni2 0.000 0.000 0.000
Ni3 0.000 0.500 0.000

The formation energy is -0.248 eV/atom.

8.
A relaxed structure of PmCu4Ni, computed with GGA-PBE.

Cell lengths 3.845, 6.642, 7.279 Å; angles 90.00, 90.00, 90.00 degrees
Fractional positions:
Pm1 0.000 0.607 0.750
Pm2 0.000 0.393 0.250
Cu1 0.000 0.000 0.500
Cu2 0.000 0.000 0.000
Cu3 0.500 0.963 0.750
Cu4 0.500 0.037 0.250
Cu5 0.500 0.720 0.051
Cu6 0.500 0.280 0.949
Cu7 0.500 0.720 0.449
Cu8 0.500 0.280 0.551
Ni1 0.000 0.219 0.750
Ni2 0.000 0.781 0.250

The value obtained for the offset from the most stable computed form is 44 meV/atom. The formation energy is -0.072 eV/atom.

9.
A relaxed structure of Pm3Cu2Ni3, computed with GGA-PBE.

Cell lengths 4.098, 5.689, 14.135 Å; angles 90.00, 90.00, 111.11 degrees
Fractional positions:
Pm1 0.904 0.808 0.396
Pm2 0.096 0.192 0.896
Pm3 0.904 0.808 0.104
Pm4 0.096 0.192 0.604
Pm5 0.627 0.253 0.250
Pm6 0.373 0.747 0.750
Cu1 0.797 0.594 0.903
Cu2 0.203 0.406 0.403
Cu3 0.797 0.594 0.597
Cu4 0.203 0.406 0.097
Ni1 0.602 0.203 0.461
Ni2 0.398 0.797 0.961
Ni3 0.602 0.203 0.039
Ni4 0.398 0.797 0.539
Ni5 0.331 0.661 0.250
Ni6 0.669 0.339 0.750

The value obtained for the offset from the most stable computed form is 0 meV/atom. The formation energy is -0.284 eV/atom.

10.
A relaxed structure of PmCu10Ni2, computed with GGA-PBE.

Cell lengths 4.844, 6.436, 6.466 Å; angles 81.90, 68.00, 67.89 degrees
Fractional positions:
Pm1 0.000 0.000 0.000
Cu1 0.354 0.641 0.650
Cu2 0.646 0.359 0.350
Cu3 0.996 0.359 0.650
Cu4 0.004 0.641 0.350
Cu5 0.000 0.000 0.500
Cu6 0.500 0.000 0.500
Cu7 0.274 0.227 0.224
Cu8 0.726 0.773 0.776
Cu9 0.501 0.773 0.224
Cu10 0.499 0.227 0.776
Ni1 0.000 0.500 0.000
Ni2 0.500 0.500 0.000

The formation energy is -0.089 eV/atom.

11.
A relaxed structure of Pm2Cu2Ni, computed with GGA-PBE.

Cell lengths 3.991, 5.604, 10.110 Å; angles 86.61, 78.62, 69.14 degrees
Fractional positions:
Pm1 0.696 0.250 0.358
Pm2 0.915 0.288 0.883
Pm3 0.304 0.750 0.642
Pm4 0.085 0.712 0.117
Cu1 0.050 0.321 0.580
Cu2 0.623 0.867 0.886
Cu3 0.950 0.679 0.420
Cu4 0.377 0.133 0.114
Ni1 0.584 0.148 0.683
Ni2 0.416 0.852 0.317

The formation energy is -0.264 eV/atom.

12.
A relaxed structure of PmCuNi2, computed with GGA-PBE.

Cell lengths 3.738, 4.100, 4.100 Å; angles 90.00, 90.00, 90.00 degrees
Fractional positions:
Ni1 0.000 0.000 0.500
Ni2 0.000 0.500 0.000
Cu1 0.500 0.000 0.000
Pm1 0.500 0.500 0.500

The value obtained for the offset from the most stable computed form is 244 meV/atom. The formation energy is -0.058 eV/atom.

| no. | final energy (eV/atom) |
| --- | --- |
| 1 | -4.9100 |
| 2 | -4.5597 |
| 3 | -4.6333 |
| 4 | -5.1631 |
| 5 | -5.3639 |
| 6 | -5.0332 |
| 7 | -5.0513 |
| 8 | -4.5583 |
| 9 | -5.2577 |
| 10 | -4.4952 |
| 11 | -4.9585 |
| 12 | -5.1608 |